# 1
Material: Li2FeSb
Method: DFT, PBE
State: relaxed

Results
The value obtained for the electronic total energy is -3.9813 eV/atom. The formation energy from raw total energies comes out at 122 meV/atom. The space group is I-42d. The crystal system is tetragonal.

Cell lengths 3.8603, 3.8603, 10.0481 Å; angles 78.93, 78.93, 90.00 degrees
Last column: nearest neighbours and their distance in Å.
Atoms (fractional coordinates):
1 Sb 0.0000 0.0000 0.0000  4 Fe 2.73, 4 Li 2.79
2 Sb 0.7500 0.2500 0.5000  4 Fe 2.73, 4 Li 2.79
3 Fe 0.5000 0.5000 0.0000  4 Sb 2.73, 4 Li 2.77
4 Fe 0.2500 0.7500 0.5000  4 Sb 2.73, 4 Li 2.77
5 Li 0.6178 0.1250 0.2500  4 Li 2.69-2.77, 2 Fe 2.77, 2 Sb 2.79
6 Li 0.1322 0.6250 0.2500  4 Li 2.69-2.77, 2 Fe 2.77, 2 Sb 2.79
7 Li 0.3750 0.3822 0.7500  4 Li 2.69-2.77, 2 Fe 2.77, 2 Sb 2.79
8 Li 0.8750 0.8678 0.7500  4 Li 2.69-2.77, 2 Fe 2.77, 2 Sb 2.79

---

# 2
Material: Pm3Nd4ThS8
Method: DFT, PBE
State: relaxed

Results
The value obtained for the electronic total energy is -6.6099 eV/atom. The formation energy from raw total energies comes out at -2000 meV/atom. The space group is R-3m. The crystal system is trigonal.

Cell lengths 8.1069, 8.1040, 8.1065 Å; angles 120.00, 120.00, 90.00 degrees
Last column: nearest neighbours and their distance in Å.
Atoms (fractional coordinates):
1 Pm 0.5000 0.5000 0.0000  6 S 2.85
2 Pm 0.5000 0.5000 0.5000  6 S 2.85
3 Pm 0.0000 0.5000 0.5000  6 S 2.85
4 Nd 0.5000 0.0000 0.0000  6 S 2.88
5 Nd 0.5000 0.0000 0.5000  6 S 2.88
6 Nd 0.0000 0.0000 0.0000  6 S 2.88
7 Nd 0.0000 0.0000 0.5000  6 S 2.88
8 Th 0.0000 0.5000 0.0000  6 S 2.85
9 S 0.2486 0.7464 0.9978  1 Th 2.85, 2 Pm 2.85, 3 Nd 2.88
10 S 0.2486 0.7464 0.4972  1 Th 2.85, 2 Pm 2.85, 3 Nd 2.88
11 S 0.2511 0.2534 0.5023  3 Pm 2.85, 3 Nd 2.88
12 S 0.7492 0.7464 0.9978  1 Th 2.85, 2 Pm 2.85, 3 Nd 2.88
13 S 0.2508 0.2536 0.0022  1 Th 2.85, 2 Pm 2.85, 3 Nd 2.88
14 S 0.7489 0.7466 0.4977  3 Pm 2.85, 3 Nd 2.88
15 S 0.7514 0.2536 0.5028  1 Th 2.85, 2 Pm 2.85, 3 Nd 2.88
16 S 0.7514 0.2536 0.0022  1 Th 2.85, 2 Pm 2.85, 3 Nd 2.88

---

# 3
Material: HgI3Cl
Method: DFT, PBE
State: relaxed

Results
The value obtained for the electronic total energy is -1.0784 eV/atom. The formation energy from raw total energies comes out at 281 meV/atom. The space group is Pm-3m. The energy above the most stable polymorph in this dataset is 0.000 eV per atom. The crystal system is cubic.

Cell lengths 5.8928, 5.8928, 5.8928 Å; angles 90.00, 90.00, 90.00 degrees
Last column: nearest neighbours and their distance in Å.
Atoms (fractional coordinates):
1 I 0.0000 0.5000 0.0000  2 Hg 2.95
2 I 0.0000 0.0000 0.5000  2 Hg 2.95
3 I 0.5000 0.0000 0.0000  2 Hg 2.95
4 Hg 0.0000 0.0000 0.0000  6 I 2.95
5 Cl 0.5000 0.5000 0.5000  12 I 4.17

---

# 4
Material: ScCrRu2
Method: DFT, PBE
State: relaxed

Results
The value obtained for the electronic total energy is -8.5498 eV/atom. For the formation energy, the calculation gives 0.077 eV per atom. The space group is P4mm. The crystal system is tetragonal.

Cell lengths 3.0569, 3.0569, 6.3667 Å; angles 90.00, 90.00, 90.00 degrees
Last column: nearest neighbours and their distance in Å.
Atoms (fractional coordinates):
1 Cr 0.5000 0.5000 0.7756  4 Ru 2.51, 4 Sc 2.79
2 Ru 0.0000 0.0000 0.9772  4 Cr 2.51, 4 Ru 2.77
3 Ru 0.5000 0.5000 0.2494  4 Sc 2.68, 4 Ru 2.77
4 Sc 0.0000 0.0000 0.4979  4 Ru 2.68, 4 Cr 2.79

---

# 5
Material: GeMoRh3
Method: DFT, PBE
State: relaxed

Results
The value obtained for the electronic total energy is -6.4118 eV/atom. For the formation energy, the calculation gives 1.089 eV per atom. The space group is Pm-3m. The energy above the most stable polymorph in this dataset is 0.272 eV per atom. The crystal system is cubic.

Cell lengths 4.6887, 4.6887, 4.6887 Å; angles 90.00, 90.00, 90.00 degrees
Last column: nearest neighbours and their distance in Å.
Atoms (fractional coordinates):
1 Mo 0.0000 0.0000 0.0000  6 Rh 2.34
2 Rh 0.0000 0.5000 0.0000  2 Mo 2.34
3 Rh 0.0000 0.0000 0.5000  2 Mo 2.34
4 Rh 0.5000 0.0000 0.0000  2 Mo 2.34
5 Ge 0.5000 0.5000 0.5000  12 Rh 3.32

---

# 6
Material: Tl6Cd2In
Method: DFT, PBE
State: relaxed

Results
The value obtained for the electronic total energy is -2.0467 eV/atom. For the formation energy, the calculation gives 0.038 eV per atom. The space group is Fmmm. The energy above the most stable polymorph in this dataset is 0.008 eV per atom. The crystal system is orthorhombic.

Cell lengths 4.8426, 7.6132, 7.7824 Å; angles 84.32, 71.87, 71.46 degrees
Last column: nearest neighbours and their distance in Å.
Atoms (fractional coordinates):
1 Tl 0.9913 0.1830 0.8345  3 Cd 3.33-3.36, 1 In 3.37, 8 Tl 3.44-3.60
2 Tl 0.3258 0.1829 0.1654  3 Cd 3.33-3.36, 1 In 3.37, 8 Tl 3.44-3.60
3 Tl 0.6742 0.8171 0.8346  3 Cd 3.33-3.36, 1 In 3.37, 8 Tl 3.44-3.60
4 Tl 0.3386 0.8227 0.5000  2 In 3.36, 2 Cd 3.39, 8 Tl 3.46-3.59
5 Tl 0.6614 0.1773 0.5000  2 In 3.36, 2 Cd 3.39, 8 Tl 3.46-3.59
6 Tl 0.0087 0.8170 0.1655  3 Cd 3.33-3.36, 1 In 3.37, 8 Tl 3.44-3.60
7 Cd 0.3334 0.5000 0.8333  8 Tl 3.33-3.39, 2 In 3.46, 2 Cd 3.46
8 Cd 0.6666 0.5000 0.1667  8 Tl 3.33-3.39, 2 In 3.46, 2 Cd 3.46
9 In 0.0000 0.5000 0.5000  8 Tl 3.36-3.37, 4 Cd 3.46

---

# 7
Material: Li2TiF4
Method: DFT, PBE
State: relaxed

Results
The value obtained for the electronic total energy is -5.3685 eV/atom. The formation energy from raw total energies comes out at -2625 meV/atom. The space group is I4/mmm. The crystal system is tetragonal.

Cell lengths 4.1468, 4.1468, 6.1853 Å; angles 70.41, 70.41, 90.00 degrees
Last column: nearest neighbours and their distance in Å.
Atoms (fractional coordinates):
1 F 0.8118 0.8118 0.3764  1 Li 1.78
2 F 0.1882 0.1882 0.6236  1 Li 1.78
3 F 0.0000 0.5000 0.0000  2 Ti 2.07
4 F 0.5000 0.0000 0.0000  2 Ti 2.07
5 Li 0.6482 0.6482 0.7036  1 F 1.78
6 Li 0.3518 0.3518 0.2964  1 F 1.78
7 Ti 0.0000 0.0000 0.0000  6 F 2.05-2.07

---

# 8
Material: Dy2Er2Bi2C
Method: DFT, PBE
State: relaxed

Results
The value obtained for the electronic total energy is -5.7017 eV/atom. For the formation energy, the calculation gives -0.657 eV per atom. The space group is I4/mmm. The crystal system is tetragonal.

Cell lengths 4.8125, 4.8125, 8.6927 Å; angles 106.07, 106.07, 90.00 degrees
Last column: nearest neighbours and their distance in Å.
Atoms (fractional coordinates):
1 Dy 0.1530 0.1530 0.3060  1 C 2.45
2 Dy 0.8470 0.8470 0.6940  1 C 2.45
3 Er 0.0000 0.5000 0.0000  2 C 2.41
4 Er 0.5000 0.0000 0.0000  2 C 2.41
5 Bi 0.3562 0.3562 0.7124  5 Dy 3.25-3.41, 4 Er 3.33
6 Bi 0.6438 0.6438 0.2876  5 Dy 3.25-3.41, 4 Er 3.33
7 C 0.0000 0.0000 0.0000  4 Er 2.41, 2 Dy 2.45

---

electronic total energy of number 6 (Tl6Cd2In)? -2.0467 eV/atom